DFT (GGA-PBE) results for ReNiTe after structural relaxation.

abc: 3.103 3.103 6.000
angles: 90.00 90.00 120.00
Fractional coordinates of all 3 atoms:
Re (0.333, 0.667, 0.320)
Ni (0.000, 0.000, 0.011)
Te (0.667, 0.333, 0.669)

Energy above the most stable polymorph in this dataset: 106 meV/atom
M_tot: 0.00 μB/f.u.
Formation energy from raw total energies: 0.6399 eV per atom